## DyY2Ni2B2As3 (PBE-GGA)

Data for an optimized crystal structure of DyY2Ni2B2As3.

E_tot, eV/atom: -6.400
Calculated volume, Å³/cell: 176.66

The structure in CIF format:
```
data_DyY2Ni2B2As3
_space_group_name_H-M_alt 'P 1'
_space_group_IT_number 1
_cell_length_a 11.275
_cell_length_b 11.275
_cell_length_c 11.275
_cell_angle_alpha 159.44
_cell_angle_beta 159.44
_cell_angle_gamma 29.24
loop_
_space_group_symop_operation_xyz
'x,y,z'
loop_
_atom_site_label
_atom_site_type_symbol
_atom_site_fract_x
_atom_site_fract_y
_atom_site_fract_z
As1 As 0.129 0.129 0.000
As2 As 0.500 0.500 0.000
As3 As 0.871 0.871 0.000
B1 B 0.225 0.225 0.000
B2 B 0.775 0.775 0.000
Dy1 Dy 0.000 0.000 0.000
Ni1 Ni 0.750 0.250 0.500
Ni2 Ni 0.250 0.750 0.500
Y1 Y 0.359 0.359 0.000
Y2 Y 0.641 0.641 0.000
```


## DyBAsO (PBE-GGA)

Data for an optimized crystal structure of DyBAsO.

Relative energy among the computed polymorphs, meV per atom: 0
Calculated volume, Å³/cell: 115.63

The structure in CIF format:
```
data_DyBAsO
_space_group_name_H-M_alt 'P 1'
_space_group_IT_number 1
_cell_length_a 4.001
_cell_length_b 4.001
_cell_length_c 7.224
_cell_angle_alpha 90.00
_cell_angle_beta 90.00
_cell_angle_gamma 90.00
loop_
_space_group_symop_operation_xyz
'x,y,z'
loop_
_atom_site_label
_atom_site_type_symbol
_atom_site_fract_x
_atom_site_fract_y
_atom_site_fract_z
As1 As 0.000 0.500 0.375
As2 As 0.500 0.000 0.625
B1 B 0.000 0.000 0.500
B2 B 0.500 0.500 0.500
Dy1 Dy 0.500 0.000 0.147
Dy2 Dy 0.000 0.500 0.853
O1 O 0.000 0.000 0.000
O2 O 0.500 0.500 0.000
```


## DyBAsO (PBE-GGA)

Data for an optimized crystal structure of DyBAsO.

Relative energy among the computed polymorphs, meV per atom: 59
Calculated volume, Å³/cell: 139.18

The structure in CIF format:
```
data_DyBAsO
_space_group_name_H-M_alt 'P 1'
_space_group_IT_number 1
_cell_length_a 3.540
_cell_length_b 6.675
_cell_length_c 5.890
_cell_angle_alpha 90.00
_cell_angle_beta 90.00
_cell_angle_gamma 90.00
loop_
_space_group_symop_operation_xyz
'x,y,z'
loop_
_atom_site_label
_atom_site_type_symbol
_atom_site_fract_x
_atom_site_fract_y
_atom_site_fract_z
As1 As 0.000 0.782 0.438
As2 As 0.000 0.218 0.938
B1 B 0.500 0.614 0.440
B2 B 0.500 0.386 0.940
Dy1 Dy 0.000 0.212 0.438
Dy2 Dy 0.000 0.788 0.938
O1 O 0.500 0.410 0.438
O2 O 0.500 0.590 0.938
```


## DyBAsO (PBE-GGA)

Data for an optimized crystal structure of DyBAsO.

Relative energy among the computed polymorphs, meV per atom: 471
Calculated volume, Å³/cell: 127.01

The structure in CIF format:
```
data_DyBAsO
_space_group_name_H-M_alt 'P 1'
_space_group_IT_number 1
_cell_length_a 3.926
_cell_length_b 5.340
_cell_length_c 6.058
_cell_angle_alpha 90.00
_cell_angle_beta 90.00
_cell_angle_gamma 90.00
loop_
_space_group_symop_operation_xyz
'x,y,z'
loop_
_atom_site_label
_atom_site_type_symbol
_atom_site_fract_x
_atom_site_fract_y
_atom_site_fract_z
As1 As 0.000 0.362 0.270
As2 As 0.000 0.638 0.770
B1 B 0.000 0.704 0.436
B2 B 0.000 0.296 0.936
Dy1 Dy 0.500 0.780 0.103
Dy2 Dy 0.500 0.220 0.603
O1 O 0.500 0.855 0.445
O2 O 0.500 0.145 0.945
```